Compound: LiY2Pb
Source: Alexandria via LeMat-Bulk
Functional: PBE-GGA
Structure: relaxed

The space group is F-43m (No. 216) and the conventional cell measures 7.611, 7.611 and 7.611 Å, with angles of 90.00, 90.00 and 90.00 degrees. The asymmetric unit holds Li at (0.000, 0.000, 0.000), Y at (0.000, 0.000, 0.500), Y at (0.250, 0.250, 0.250) and Pb at (0.250, 0.250, 0.750).

The value obtained for the total magnetization is 0.00 μB per atom. The crystal system is cubic. The calculation puts the formation energy at 21 meV/atom.



Compound: LaCuO3
Source: Alexandria via LeMat-Bulk
Functional: PBE-GGA
Structure: relaxed

The space group is C2/m (No. 12) and the conventional cell measures 12.737, 3.930 and 6.153 Å, with angles of 90.00, 107.55 and 90.00 degrees. The asymmetric unit holds La at (0.133, 0.000, 0.322), Cu at (0.161, 0.500, 0.905), O at (0.004, 0.500, 0.880), O at (0.174, 0.500, 0.538) and O at (0.177, 0.000, 0.964).

The value obtained for the total magnetization is 0.00 μB per atom. The crystal system is monoclinic. For the formation energy (no corrections), the calculation gives -1803.3 meV/atom.



Compound: K4MnZn2
Source: Alexandria via LeMat-Bulk
Functional: PBE-GGA
Structure: relaxed

The space group is I4/mmm (No. 139) and the conventional cell measures 6.594, 6.594 and 16.570 Å, with angles of 90.00, 90.00 and 90.00 degrees. The asymmetric unit holds K at (0.000, 0.000, 0.216), K at (0.000, 0.500, 0.000), Mn at (0.000, 0.000, 0.000) and Zn at (0.000, 0.000, 0.421).

The value obtained for the total magnetization is 0.71 μB per atom. The crystal system is tetragonal. The calculation puts the formation energy at 571 meV/atom.



Compound: MnGaSiRhSe
Source: Alexandria via LeMat-Bulk
Functional: PBE-GGA
Structure: relaxed

The space group is Cm (No. 8) and the conventional cell measures 8.749, 3.281 and 5.885 Å, with angles of 90.00, 98.40 and 90.00 degrees. The asymmetric unit holds Mn at (0.000, 0.000, 0.000), Ga at (0.274, 0.000, 0.052), Si at (0.412, 0.000, 0.680), Rh at (0.213, 0.500, 0.715) and Se at (0.040, 0.500, 0.322).

For the energy above the lowest structure with this stoichiometry, the calculation gives 87 meV per atom. The value obtained for the total magnetization is 0.52 μB per atom. The crystal system is monoclinic. For the formation energy (no corrections), the calculation gives -191.3 meV/atom.



Compound: CsTcMo
Source: Alexandria via LeMat-Bulk
Functional: PBE-GGA
Structure: relaxed

The space group is Pm (No. 6) and the conventional cell measures 3.196, 4.062 and 13.782 Å, with angles of 90.00, 92.82 and 90.00 degrees. The asymmetric unit holds Cs at (0.000, 0.000, 0.000), Cs at (0.314, 0.500, 0.652), Tc at (0.106, 0.000, 0.268), Tc at (0.143, 0.000, 0.440), Mo at (0.597, 0.500, 0.218) and Mo at (0.633, 0.500, 0.391).

For the energy above the lowest structure with this stoichiometry, the calculation gives 41 meV per atom. The value obtained for the total magnetization is 0.00 μB per atom. The crystal system is monoclinic. The calculation puts the formation energy at 746 meV/atom.



Compound: CaGaRh2
Source: Alexandria via LeMat-Bulk
Functional: PBE-GGA
Structure: relaxed

The space group is P4/mmm (No. 123) and the conventional cell measures 4.482, 4.482 and 3.248 Å, with angles of 90.00, 90.00 and 90.00 degrees. The asymmetric unit holds Ca at (0.000, 0.000, 0.000), Ga at (0.500, 0.500, 0.000) and Rh at (0.000, 0.500, 0.500).

The value obtained for the total magnetization is 0.00 μB per atom. The crystal system is tetragonal. The calculation puts the formation energy at -465 meV/atom.



Number 1: energy -73.86 eV per cell. Number 2: energy -131.66 eV per cell. Number 3: energy -24.22 eV per cell. Number 4: energy -58.82 eV per cell. Number 5: energy -39.62 eV per cell. Number 6: energy -21.59 eV per cell.